VASP calculation (PBE) on a geometry-optimized Mg2SbAs structure.

It has space group Immm (No. 71), with a = 4.187 Å, b = 5.270 Å, c = 8.117 Å, α = 90.00°, β = 90.00° and γ = 90.00°. The asymmetric unit holds Mg at (0.000, 0.000, 0.230), Sb at (0.000, 0.500, 0.000) and As at (0.000, 0.500, 0.500).

The calculation puts the density of states at the Fermi level at 2.4 states/eV per cell. As for the energy above the most stable polymorph in this dataset: 141 meV per atom. For the raw total energy, the calculation gives -3.167 eV/atom. As for the total magnetic moment: 0.0 μB per formula unit.